Version w
KYOs2 | GGA-PBE | relaxed

The structure in CIF format:
```
data_KYOs2
_space_group_name_H-M_alt 'P 1 2/m 1'
_space_group_IT_number 10
_cell_length_a 2.901
_cell_length_b 4.872
_cell_length_c 7.240
_cell_angle_alpha 90.00
_cell_angle_beta 96.37
_cell_angle_gamma 90.00
loop_
_space_group_symop_operation_xyz
'x,y,z'
'-x,-y,-z'
'-x,y,-z'
'x,-y,z'
loop_
_atom_site_label
_atom_site_type_symbol
_atom_site_fract_x
_atom_site_fract_y
_atom_site_fract_z
_atom_site_occupancy
K1 K 0.000 0.000 0.000 1
Y1 Y 0.500 0.000 0.500 1
Os1 Os 0.251 0.500 0.648 1
```

- Volume: 102 Å³/f.u.
- Total moment: 0.36 μB per cell

Version x
KYOs2 | GGA-PBE | relaxed

The structure in CIF format:
```
data_KYOs2
_space_group_name_H-M_alt 'C m m m'
_space_group_IT_number 65
_space_group_name_Hall '-C 2 2'
_cell_length_a 3.231
_cell_length_b 4.804
_cell_length_c 10.238
_cell_angle_alpha 90.00
_cell_angle_beta 90.00
_cell_angle_gamma 90.00
loop_
_atom_site_label
_atom_site_type_symbol
_atom_site_fract_x
_atom_site_fract_y
_atom_site_fract_z
_atom_site_occupancy
K1 K 0.000 0.000 0.000 1
Y1 Y 0.000 0.000 0.500 1
Os1 Os 0.000 0.500 0.276 1
```

- Volume: 79 Å³/f.u.
- Total moment: 0.00 μB per cell

The most stable structure shown above is version w; the least stable is version x.